This record from the Alexandria database describes a geometry-optimized CeYHg2 structure. The functional is PBE.

The space group is Fm-3m (No. 225) and the conventional cell measures 7.568, 7.568 and 7.568 Å, with angles of 90.00, 90.00 and 90.00 degrees. The distinct sites, in fractional coordinates, are Ce at (0.000, 0.000, 0.000), Y at (0.000, 0.000, 0.500) and Hg at (0.250, 0.250, 0.250).

As for the energy of formation from the pure elements: -0.385 eV per atom. The density is 9.7 g cm⁻³. As for the final energy: -3.636 eV/atom. For the energy above the most stable polymorph in this dataset, the calculation gives 0.05 eV per formula unit.